[1]
BaLiSn2Se4 after structural relaxation, computed with PBE-GGA.

Output
raw formation energy: -22.12 kcal/mol of atoms
total moment: 0.00 μB/cell
DOS at the Fermi energy: 0.413 states/eV/atom
calculated total energy: -133.82 eV/cell
crystal system: orthorhombic

a b c (Å): 4.335 13.929 14.601
angles (deg): 90.00 90.00 90.00
Space group Cmcm (No. 63)
Unique sites:
Ba (0.000, 0.113, 0.250)
Li (0.000, 0.154, 0.750)
Sn (0.000, 0.369, 0.058)
Se (0.000, 0.000, 0.000)
Se (0.000, 0.267, 0.615)
Se (0.000, 0.436, 0.250)

[2]
Ba2SrLiSe after structural relaxation, computed with PBE-GGA.

Output
raw formation energy: -14.80 kcal/mol of atoms
total moment: 0.00 μB/cell
DOS at the Fermi energy: 1.289 states/eV/atom
calculated total energy: -14.13 eV/cell
crystal system: tetragonal

a b c (Å): 6.452 6.452 6.019
angles (deg): 90.00 90.00 90.00
Space group P4/mmm (No. 123)
Unique sites:
Ba (0.000, 0.500, 0.000)
Sr (0.000, 0.000, 0.500)
Li (0.500, 0.500, 0.500)
Se (0.000, 0.000, 0.000)

[3]
BaSr2LiSe after structural relaxation, computed with PBE-GGA.

Output
raw formation energy: -14.69 kcal/mol of atoms
total moment: 0.00 μB/cell
DOS at the Fermi energy: 1.190 states/eV/atom
calculated total energy: -13.87 eV/cell
crystal system: tetragonal

a b c (Å): 6.030 6.030 6.506
angles (deg): 90.00 90.00 90.00
Space group P4/mmm (No. 123)
Unique sites:
Ba (0.000, 0.000, 0.000)
Sr (0.000, 0.500, 0.500)
Li (0.500, 0.500, 0.000)
Se (0.000, 0.000, 0.500)

[4]
Ba4LiTb3Se8 after structural relaxation, computed with PBE-GGA.

Output
raw formation energy: -42.70 kcal/mol of atoms
total moment: 0.00 μB/cell
DOS at the Fermi energy: 0.295 states/eV/atom
calculated total energy: -242.99 eV/cell
crystal system: trigonal

a b c (Å): 8.6788 8.6788 21.9133
angles (deg): 90.00 90.00 120.00
Space group R-3m (No. 166, hexagonal axes)
Unique sites:
Ba (0.0000, 0.0000, 0.0000)
Ba (0.0000, 0.5000, 0.0000)
Li (0.0000, 0.0000, 0.5000)
Tb (0.0000, 0.5000, 0.5000)
Se (0.0000, 0.0000, 0.2381)
Se (0.0029, 0.5015, 0.7627)

[5]
Ba2LiTe2Se6 after structural relaxation, computed with PBE-GGA.

Output
raw formation energy: -19.28 kcal/mol of atoms
total moment: 0.00 μB/cell
DOS at the Fermi energy: 0.144 states/eV/atom
calculated total energy: -84.30 eV/cell
crystal system: monoclinic

a b c (Å): 13.373 7.465 8.274
angles (deg): 90.00 118.91 90.00
Space group C2/m (No. 12)
Unique sites:
Ba (0.182, 0.000, 0.225)
Li (0.000, 0.000, 0.500)
Te (0.049, 0.500, 0.335)
Se (0.053, 0.190, 0.796)
Se (0.231, 0.500, 0.309)

[6]
Ba2LiTlSe after structural relaxation, computed with PBE-GGA.

Output
raw formation energy: -19.39 kcal/mol of atoms
total moment: 0.00 μB/cell
DOS at the Fermi energy: 0.608 states/eV/atom
calculated total energy: -15.81 eV/cell
crystal system: tetragonal

a b c (Å): 6.408 6.408 4.709
angles (deg): 90.00 90.00 90.00
Space group P4/mmm (No. 123)
Unique sites:
Ba (0.000, 0.500, 0.000)
Li (0.000, 0.000, 0.500)
Tl (0.500, 0.500, 0.500)
Se (0.000, 0.000, 0.000)